Entry 1:
Here is a relaxed ScAg2Cl crystal from the Alexandria database. Energies are from PBE-GGA.

extended XYZ file:
```
4
Lattice="3.1587 0.0000 0.0000 0.0000 4.4981 0.0000 0.0000 0.0000 5.6646" Properties=species:S:1:pos:R:3 pbc="T T T"
Sc 0.0000 0.0000 0.0000
Ag 0.0000 2.2490 2.8323
Ag 1.5794 0.0000 2.8323
Cl 1.5794 2.2490 0.0000
```

Summary:
**Calculated volume**: 20.12 Å³/atom
**Energy relative to the elements, uncorrected**: -0.35 eV/atom
**D(E_F)**: 3.37 states/eV/cell
**E_tot**: -15.28 eV for the cell shown

Entry 2:
Here is a relaxed La2MnHg2 crystal from the Alexandria database. Energies are from PBE-GGA.

extended XYZ file:
```
5
Lattice="-1.9463 1.9463 9.2354 1.9463 -1.9463 9.2354 1.9463 1.9463 -9.2354" Properties=species:S:1:pos:R:3 pbc="T T T"
La 0.0000 0.0000 1.6096
La 0.0000 0.0000 16.8612
Mn 0.0000 0.0000 9.2354
Hg 1.9463 0.0000 4.6177
Hg 0.0000 1.9463 4.6177
```

Summary:
**Energy of formation from the pure elements**: 0.31 eV per atom
**Calculated volume**: 27.99 Å³/atom
**D(E_F)**: 5.32 states/eV/cell
**E_tot**: -18.07 eV for the cell shown

Entry 3:
Here is a relaxed BeSiAu crystal from the Alexandria database. Energies are from PBE-GGA.

extended XYZ file:
```
3
Lattice="0.0000 2.8563 2.8563 2.8563 0.0000 2.8563 2.8563 2.8563 0.0000" Properties=species:S:1:pos:R:3 pbc="T T T"
Be 0.0000 0.0000 0.0000
Si 2.8563 2.8563 2.8563
Au 4.2844 4.2844 4.2844
```

Summary:
**Calculated volume**: 15.53 Å³/atom
**Energy relative to the elements, uncorrected**: 0.03 eV/atom
**D(E_F)**: 1.25 states/eV/cell
**E_tot**: -12.35 eV for the cell shown

Entry 4:
Here is a relaxed TbCeNdPa crystal from the Alexandria database. Energies are from PBE-GGA.

extended XYZ file:
```
4
Lattice="0.0000 3.9371 3.9371 3.9371 0.0000 3.9371 3.9371 3.9371 0.0000" Properties=species:S:1:pos:R:3 pbc="T T T"
Tb 0.0000 0.0000 0.0000
Ce 5.9056 5.9056 5.9056
Nd 1.9685 1.9685 1.9685
Pa 3.9371 3.9371 3.9371
```

Summary:
**Energy of formation from the pure elements**: 0.40 eV per atom
**Calculated volume**: 30.51 Å³/atom
**D(E_F)**: 13.76 states/eV/cell
**E_tot**: -23.23 eV for the cell shown

Entry 5:
Here is a relaxed Pr8HgPd2 crystal from the Alexandria database. Energies are from PBE-GGA.

extended XYZ file:
```
11
Lattice="9.4839 -2.6820 0.0000 9.4839 2.6820 0.0000 -2.3255 0.0000 6.6832" Properties=species:S:1:pos:R:3 pbc="T T T"
Pr -0.1089 0.0000 1.8499
Pr 1.8213 0.0000 5.6404
Pr 4.9814 0.0000 3.2878
Pr 7.6495 0.0000 0.1322
Pr 8.9928 0.0000 6.5510
Pr 11.6609 0.0000 3.3954
Pr 14.8210 0.0000 1.0428
Pr 16.7513 0.0000 4.8332
Hg 8.3212 0.0000 3.3416
Pd 2.6982 0.0000 1.5636
Pd 13.9442 0.0000 5.1196
```

Summary:
**Energy of formation from the pure elements**: -0.34 eV per atom
**Calculated volume**: 30.91 Å³/atom
**D(E_F)**: 10.68 states/eV/cell
**E_tot**: -52.67 eV for the cell shown

Entry 6:
Here is a relaxed TeHRhPb2 crystal from the Alexandria database. Energies are from PBE-GGA.

extended XYZ file:
```
5
Lattice="5.4784 0.0000 0.0000 0.0000 5.4784 0.0000 0.0000 0.0000 3.7140" Properties=species:S:1:pos:R:3 pbc="T T T"
Te 0.0000 0.0000 0.0000
H 2.7392 2.7392 0.0000
Rh 2.7392 2.7392 1.8570
Pb 0.0000 2.7392 1.8570
Pb 2.7392 0.0000 1.8570
```

Summary:
**Calculated volume**: 22.29 Å³/atom
**D(E_F)**: 2.15 states/eV/cell
**E_tot**: -21.30 eV for the cell shown

Entry 7:
Here is a relaxed Rb2TbSnTe4 crystal from the Alexandria database. Energies are from PBE-GGA.

extended XYZ file:
```
8
Lattice="7.9578 0.0000 0.0000 0.0000 4.4982 0.0000 -2.5556 0.0000 8.5743" Properties=species:S:1:pos:R:3 pbc="T T T"
Rb 0.0000 0.0000 0.0000
Rb 3.9789 2.2491 0.0000
Tb -1.2778 2.2491 4.2872
Sn 2.7011 0.0000 4.2872
Te 0.0648 0.0000 5.9841
Te 1.3427 2.2491 2.6019
Te 4.0595 2.2491 5.9724
Te 5.3375 0.0000 2.5903
```

Summary:
**Calculated volume**: 38.37 Å³/atom
**Energy relative to the elements, uncorrected**: -0.95 eV/atom
**D(E_F)**: 3.04 states/eV/cell
**E_tot**: -30.76 eV for the cell shown

Entry 8:
Here is a relaxed ZrInRe crystal from the Alexandria database. Energies are from PBE-GGA.

extended XYZ file:
```
6
Lattice="2.9959 0.0000 0.0000 0.9715 5.4472 0.0000 0.8256 1.6453 7.4678" Properties=species:S:1:pos:R:3 pbc="T T T"
Zr 0.9089 1.3679 2.3644
Zr 3.8842 5.7246 5.1034
In 1.6661 4.1003 0.5028
In 3.1269 2.9922 6.9650
Re 1.6580 2.8265 4.5064
Re 3.1350 4.2660 2.9614
```

Summary:
**Energy of formation from the pure elements**: 0.02 eV per atom
**Calculated volume**: 20.31 Å³/atom
**D(E_F)**: 4.31 states/eV/cell
**E_tot**: -47.36 eV for the cell shown

Entry 9:
Here is a relaxed HgPd7Pb2S2 crystal from the Alexandria database. Energies are from PBE-GGA.

extended XYZ file:
```
12
Lattice="2.8741 -2.8728 0.0000 2.8741 2.8728 0.0000 -1.8511 0.0000 13.8478" Properties=species:S:1:pos:R:3 pbc="T T T"
Hg 0.0000 0.0000 0.0000
Pd 1.4444 1.4390 2.0832
Pd 1.2353 0.0000 8.1106
Pd 2.4527 1.4390 11.7646
Pd 2.8741 0.0000 0.0000
Pd 1.4444 -1.4390 2.0832
Pd 2.6617 0.0000 5.7372
Pd 2.4527 -1.4390 11.7646
Pb -0.1216 0.0000 5.4435
Pb 4.0187 0.0000 8.4043
S 1.0308 0.0000 10.5142
S 2.8662 0.0000 3.3336
```

Summary:
**Calculated volume**: 19.06 Å³/atom
**Energy relative to the elements, uncorrected**: -0.20 eV/atom
**D(E_F)**: 6.48 states/eV/cell
**E_tot**: -54.77 eV for the cell shown

Entry 10:
Here is a relaxed DyHoNi2 crystal from the Alexandria database. Energies are from PBE-GGA.

extended XYZ file:
```
4
Lattice="0.0000 3.3692 3.3692 3.3692 0.0000 3.3692 3.3692 3.3692 0.0000" Properties=species:S:1:pos:R:3 pbc="T T T"
Dy 0.0000 0.0000 0.0000
Ho 3.3692 3.3692 3.3692
Ni 1.6846 1.6846 1.6846
Ni 5.0539 5.0539 5.0539
```

Summary:
**Energy of formation from the pure elements**: -0.40 eV per atom
**Calculated volume**: 19.12 Å³/atom
**D(E_F)**: 4.46 states/eV/cell
**E_tot**: -22.34 eV for the cell shown

Entry 11:
Here is a relaxed LiDy4Tl7 crystal from the Alexandria database. Energies are from PBE-GGA.

extended XYZ file:
```
12
Lattice="7.1508 -2.6686 0.0000 7.1508 2.6686 0.0000 -6.3735 0.0000 9.2260" Properties=species:S:1:pos:R:3 pbc="T T T"
Li 0.0000 0.0000 0.0000
Dy -0.1799 0.0000 6.1457
Dy 4.6467 0.0000 2.0025
Dy 3.2813 0.0000 7.2236
Dy 8.1079 0.0000 3.0804
Tl -0.8691 0.0000 2.8756
Tl -2.5028 0.0000 8.2167
Tl 2.3901 0.0000 4.1396
Tl 7.1508 0.0000 0.0000
Tl 5.5379 0.0000 5.0864
Tl 10.4308 0.0000 1.0093
Tl 8.7971 0.0000 6.3505
```

Summary:
**Energy of formation from the pure elements**: -0.14 eV per atom
**Calculated volume**: 29.34 Å³/atom
**D(E_F)**: 4.58 states/eV/cell
**E_tot**: -38.56 eV for the cell shown

Entry 12:
Here is a relaxed PmThPb crystal from the Alexandria database. Energies are from PBE-GGA.

extended XYZ file:
```
3
Lattice="-2.1083 2.1083 5.1936 2.1083 -2.1083 5.1936 2.1083 2.1083 -5.1936" Properties=species:S:1:pos:R:3 pbc="T T T"
Pm 0.0000 0.0000 0.0000
Th 0.0000 0.0000 7.1720
Pb 0.0000 0.0000 3.6247
```

Summary:
**Energy of formation from the pure elements**: -0.22 eV per atom
**Calculated volume**: 30.78 Å³/atom
**D(E_F)**: 3.14 states/eV/cell
**E_tot**: -16.53 eV for the cell shown

Entry 13:
Here is a relaxed PmDy2Mg4 crystal from the Alexandria database. Energies are from PBE-GGA.

extended XYZ file:
```
7
Lattice="-2.6901 2.6901 7.3219 2.6901 -2.6901 7.3219 2.6901 2.6901 -7.3219" Properties=species:S:1:pos:R:3 pbc="T T T"
Pm 0.0000 0.0000 0.0000
Dy 0.0000 0.0000 3.6725
Dy 0.0000 0.0000 10.9713
Mg 2.6901 0.0000 1.7461
Mg 2.6901 0.0000 5.5757
Mg 0.0000 2.6901 1.7461
Mg 0.0000 2.6901 5.5757
```

Summary:
**Energy of formation from the pure elements**: 0.14 eV per atom
**Calculated volume**: 30.28 Å³/atom
**D(E_F)**: 6.17 states/eV/cell
**E_tot**: -19.39 eV for the cell shown